Record 1
! HoCd3Pd, optimized geometry, DFT GGA-PBE; values from VASP
! Crystal system: tetragonal
! E_form in meV per atom: -105
&SYSTEM
  ibrav = 0, nat = 10, ntyp = 3
/
ATOMIC_SPECIES
Ho 164.93 Ho.upf
Cd 112.41 Cd.upf
Pd 106.42 Pd.upf
ATOMIC_POSITIONS crystal
Ho 0.207 0.207 0.000
Ho 0.793 0.793 0.000
Cd 0.375 0.623 0.751
Cd 0.377 0.128 0.751
Cd 0.377 0.625 0.249
Cd 0.543 0.043 0.500
Cd 0.872 0.623 0.249
Cd 0.957 0.457 0.500
Pd 0.250 0.750 0.500
Pd 0.500 0.500 0.000
CELL_PARAMETERS angstrom
-2.713 2.713 9.357
2.713 -2.713 9.357
2.713 2.713 -9.357



Record 2
! Ca2TcTe, optimized geometry, DFT GGA-PBE; values from VASP
! E_form (uncorrected) in eV/f.u.: -0.372
! Crystal system: tetragonal
&SYSTEM
  ibrav = 0, nat = 4, ntyp = 3
/
ATOMIC_SPECIES
Ca 40.08 Ca.upf
Tc 98.00 Tc.upf
Te 127.60 Te.upf
ATOMIC_POSITIONS crystal
Ca 0.000 0.000 0.245
Ca 0.000 0.000 0.755
Tc 0.500 0.500 0.000
Te 0.500 0.500 0.500
CELL_PARAMETERS angstrom
3.835 0.000 0.000
0.000 3.835 0.000
0.000 0.000 6.937



Record 3
! Sb2RuPt, optimized geometry, DFT GGA-PBE; values from VASP
! E_form (uncorrected) in eV/f.u.: 0.107
! Crystal system: monoclinic
&SYSTEM
  ibrav = 0, nat = 4, ntyp = 3
/
ATOMIC_SPECIES
Sb 121.76 Sb.upf
Ru 101.07 Ru.upf
Pt 195.08 Pt.upf
ATOMIC_POSITIONS crystal
Sb 0.000 0.000 0.000
Sb 0.500 0.500 0.500
Ru 0.000 0.000 0.500
Pt 0.500 0.500 0.000
CELL_PARAMETERS angstrom
4.431 0.000 0.000
0.000 3.371 0.000
-2.130 0.000 5.124



Record 4
! Cd2NiAg2, optimized geometry, DFT GGA-PBE; values from VASP
! Crystal system: tetragonal
! E_form in meV per atom: 276
&SYSTEM
  ibrav = 0, nat = 10, ntyp = 3
/
ATOMIC_SPECIES
Cd 112.41 Cd.upf
Ni 58.69 Ni.upf
Ag 107.87 Ag.upf
ATOMIC_POSITIONS crystal
Cd 0.149 0.351 0.000
Cd 0.351 0.851 0.000
Cd 0.649 0.149 0.000
Cd 0.851 0.649 0.000
Ni 0.000 0.000 0.000
Ni 0.500 0.500 0.000
Ag 0.158 0.658 0.500
Ag 0.342 0.158 0.500
Ag 0.658 0.842 0.500
Ag 0.842 0.342 0.500
CELL_PARAMETERS angstrom
6.819 0.000 0.000
0.000 6.819 0.000
0.000 0.000 4.151